# 1
! CdHAu2, relaxed, DFT GGA-PBE; values from VASP
! E ... -2.44 eV/atom
&SYSTEM
  ibrav = 0, nat = 12, ntyp = 3
/
ATOMIC_SPECIES
Cd 112.41 Cd.upf
H 1.01 H.upf
Au 196.97 Au.upf
ATOMIC_POSITIONS crystal
Cd 0.000 0.000 0.000
Cd 0.333 0.667 0.667
Cd 0.667 0.333 0.333
H 0.000 0.000 0.500
H 0.333 0.667 0.167
H 0.667 0.333 0.833
Au 0.000 0.000 0.112
Au 0.000 0.000 0.888
Au 0.333 0.667 0.555
Au 0.333 0.667 0.778
Au 0.667 0.333 0.222
Au 0.667 0.333 0.445
CELL_PARAMETERS angstrom
2.900 0.000 0.000
-1.450 2.511 0.000
0.000 0.000 26.577

---

# 2
! CdH2Au2, relaxed, DFT GGA-PBE; values from VASP
! E ... -2.70 eV/atom
&SYSTEM
  ibrav = 0, nat = 10, ntyp = 3
/
ATOMIC_SPECIES
Cd 112.41 Cd.upf
H 1.01 H.upf
Au 196.97 Au.upf
ATOMIC_POSITIONS crystal
Cd 0.000 0.000 0.000
Cd 0.500 0.500 0.000
H 0.164 0.336 0.000
H 0.336 0.836 0.000
H 0.664 0.164 0.000
H 0.836 0.664 0.000
Au 0.170 0.330 0.500
Au 0.330 0.830 0.500
Au 0.670 0.170 0.500
Au 0.830 0.670 0.500
CELL_PARAMETERS angstrom
6.077 0.000 0.000
0.000 6.077 0.000
0.000 0.000 3.757

---

# 3
! CdH2Au, relaxed, DFT GGA-PBE; values from VASP
! E ... -2.60 eV/atom
&SYSTEM
  ibrav = 0, nat = 8, ntyp = 3
/
ATOMIC_SPECIES
Cd 112.41 Cd.upf
H 1.01 H.upf
Au 196.97 Au.upf
ATOMIC_POSITIONS crystal
Cd 0.163 0.339 0.250
Cd 0.837 0.661 0.750
H 0.496 0.005 0.181
H 0.497 0.005 0.319
H 0.503 0.995 0.681
H 0.504 0.995 0.819
Au 0.171 0.327 0.750
Au 0.829 0.673 0.250
CELL_PARAMETERS angstrom
5.122 0.000 0.000
-2.543 4.447 0.000
-0.007 -0.012 5.471

---

# 4
! CdHAu3, relaxed, DFT GGA-PBE; values from VASP
! E ... -1.73 eV/atom
&SYSTEM
  ibrav = 0, nat = 5, ntyp = 3
/
ATOMIC_SPECIES
Cd 112.41 Cd.upf
H 1.01 H.upf
Au 196.97 Au.upf
ATOMIC_POSITIONS crystal
Cd 0.000 0.000 0.000
H 0.500 0.500 0.500
Au 0.000 0.000 0.500
Au 0.000 0.500 0.000
Au 0.500 0.000 0.000
CELL_PARAMETERS angstrom
5.273 0.000 0.000
0.000 5.273 0.000
0.000 0.000 5.273

---

| no. | ΔE to the lowest computed polymorph (meV per atom) |
| --- | --- |
| 1 | 131 |
| 2 | 0 |
| 3 | 0 |
| 4 | 958 |